VASP calculation (PBE) on La3CeCl after structural relaxation. Values from VASP.

The calculation puts the total energy at -24.880 eV/f.u.

Geometry as Quantum ESPRESSO input:
```
&SYSTEM
  ibrav = 0, nat = 5, ntyp = 3
/
ATOMIC_SPECIES
La 138.91 La.upf
Cl 35.45 Cl.upf
Ce 140.12 Ce.upf
CELL_PARAMETERS angstrom
5.5796 0.0000 0.0000
0.0000 5.5796 0.0000
0.0000 0.0000 5.5796
ATOMIC_POSITIONS angstrom
La 0.0000 0.0000 2.7898
Cl 0.0000 0.0000 0.0000
Ce 2.7898 2.7898 2.7898
La 0.0000 2.7898 0.0000
La 2.7898 0.0000 0.0000
```

=====

VASP calculation (PBE) on LaCeCl6 after structural relaxation. Values from VASP.

For the polymorph energy (0 for the lowest one), the calculation gives 0.000 eV per atom. The calculation puts the total energy at -40.025 eV/f.u.

Geometry as Quantum ESPRESSO input:
```
&SYSTEM
  ibrav = 0, nat = 8, ntyp = 3
/
ATOMIC_SPECIES
Cl 35.45 Cl.upf
Ce 140.12 Ce.upf
La 138.91 La.upf
CELL_PARAMETERS angstrom
7.0122 0.0109 0.0099
3.4987 6.0762 0.0141
3.4965 2.0193 6.4778
ATOMIC_POSITIONS angstrom
Cl 5.7567 5.9688 1.6258
Cl 8.0367 6.0884 4.8807
Cl 8.2507 2.1376 4.8760
Ce 0.0000 0.0000 0.0000
Cl 9.2880 4.1803 1.6292
Cl 4.7194 3.9260 4.8726
Cl 5.9708 2.0180 1.6210
La 7.0037 4.0532 3.2509
```

=====

VASP calculation (PBE) on La2CeCl8 after structural relaxation. Values from VASP.

The calculation puts the total energy at -54.523 eV/f.u.

Geometry as Quantum ESPRESSO input:
```
&SYSTEM
  ibrav = 0, nat = 11, ntyp = 3
/
ATOMIC_SPECIES
La 138.91 La.upf
Cl 35.45 Cl.upf
Ce 140.12 Ce.upf
CELL_PARAMETERS angstrom
-1.9084 -5.0625 1.2147
7.2863 -0.9190 2.2512
-4.0239 4.0394 5.1472
ATOMIC_POSITIONS angstrom
La -0.4251 2.4617 4.2257
Cl 1.4715 0.3624 5.1263
Ce -0.9542 -2.5313 0.6074
Cl 3.7149 -2.3029 3.5287
La 3.6875 0.6587 3.1727
Cl 2.3392 -2.7431 6.7055
Cl -0.9852 0.8009 1.9076
Cl 1.9164 -0.4711 1.1646
Cl -2.3609 0.3607 5.0844
Cl -0.1175 -2.3046 3.4868
Cl -0.5624 -1.4710 7.4485
```